The following is a DFT calculation (PBE+U) of crystalline HoPb2WO6 at its relaxed geometry.

Structure (POSCAR):
```
HoPb2WO6
1.0
-0.020 -4.964 -2.995
0.533 -3.087 5.113
-8.478 -0.430 0.624
Pb O Ho W
4 12 2 2
direct
0.011 0.041 0.734 Pb
0.989 0.959 0.266 Pb
0.489 0.541 0.766 Pb
0.511 0.459 0.234 Pb
0.688 0.268 0.529 O
0.936 0.524 0.239 O
0.796 0.815 0.519 O
0.188 0.232 0.029 O
0.812 0.768 0.971 O
0.704 0.315 0.981 O
0.064 0.476 0.761 O
0.312 0.732 0.471 O
0.296 0.685 0.019 O
0.436 0.976 0.739 O
0.204 0.185 0.481 O
0.564 0.024 0.261 O
0.500 0.000 0.000 Ho
0.000 0.500 0.500 Ho
0.000 0.500 0.000 W
0.500 0.000 0.500 W
```

space group = P2_1/c, No. 14
calculated total energy = -0.257 hartree per atom